# 1
Computed, not measured: a geometry-optimized TiAs2OsBr structure at the PBE level of DFT.

Lattice parameters (Å, degrees): 4.723 4.723 5.381 90.00 90.00 90.00
Space group P4/mmm (No. 123)
Symmetry-distinct sites (fractional):
Ti 0.000 0.000 0.000
As 0.000 0.500 0.500
Os 0.500 0.500 0.500
Br 0.500 0.500 0.000

Calculated values
- M_tot: 2.5 μB per cell
- DFT total energy: -5.29 eV/atom
- Energy relative to the lowest polymorph listed for this composition: 0.00 eV/f.u.


# 2
Computed, not measured: a geometry-optimized TiAs2OsBr structure at the PBE level of DFT.

Lattice parameters (Å, degrees): 4.950 4.950 4.777 90.00 90.00 90.00
Space group P4/mmm (No. 123)
Symmetry-distinct sites (fractional):
Ti 0.000 0.000 0.000
As 0.000 0.500 0.000
Os 0.500 0.500 0.500
Br 0.000 0.000 0.500

Calculated values
- M_tot: 3.3 μB per cell
- DFT total energy: -4.94 eV/atom
- Energy relative to the lowest polymorph listed for this composition: 1.75 eV/f.u.


# 3
Computed, not measured: a geometry-optimized TlAsOsBr2 structure at the PBE level of DFT.

Lattice parameters (Å, degrees): 5.599 5.599 5.529 90.00 90.00 90.00
Space group P4/mmm (No. 123)
Symmetry-distinct sites (fractional):
Tl 0.000 0.000 0.000
As 0.000 0.000 0.500
Os 0.500 0.500 0.500
Br 0.000 0.500 0.000

Calculated values
- M_tot: 3.1 μB per cell
- DFT total energy: -2.75 eV/atom
- Energy relative to the lowest polymorph listed for this composition: 6.87 eV/f.u.


# 4
Computed, not measured: a geometry-optimized TlAs2OsBr structure at the PBE level of DFT.

Lattice parameters (Å, degrees): 5.313 5.313 5.424 90.00 90.00 90.00
Space group P4/mmm (No. 123)
Symmetry-distinct sites (fractional):
Tl 0.000 0.000 0.000
As 0.000 0.500 0.000
Os 0.500 0.500 0.500
Br 0.000 0.000 0.500

Calculated values
- M_tot: 2.7 μB per cell
- DFT total energy: -2.98 eV/atom
- Energy relative to the lowest polymorph listed for this composition: 8.25 eV/f.u.


# 5
Computed, not measured: a geometry-optimized TlAsOsBr2 structure at the PBE level of DFT.

Lattice parameters (Å, degrees): 5.417 5.417 4.663 90.00 90.00 90.00
Space group P4/mmm (No. 123)
Symmetry-distinct sites (fractional):
Tl 0.000 0.000 0.000
As 0.500 0.500 0.000
Os 0.500 0.500 0.500
Br 0.000 0.500 0.500

Calculated values
- M_tot: 0.0 μB per cell
- DFT total energy: -4.12 eV/atom
- Energy relative to the lowest polymorph listed for this composition: 0.00 eV/f.u.


# 6
Computed, not measured: a geometry-optimized TlAs2OsBr structure at the PBE level of DFT.

Lattice parameters (Å, degrees): 4.749 4.749 5.849 90.00 90.00 90.00
Space group P4/mmm (No. 123)
Symmetry-distinct sites (fractional):
Tl 0.000 0.000 0.000
As 0.000 0.500 0.500
Os 0.500 0.500 0.500
Br 0.500 0.500 0.000

Calculated values
- M_tot: 0.0 μB per cell
- DFT total energy: -4.63 eV/atom
- Energy relative to the lowest polymorph listed for this composition: 0.00 eV/f.u.


# 7
Computed, not measured: a geometry-optimized VAsOsBr2 structure at the PBE level of DFT.

Lattice parameters (Å, degrees): 5.228 5.228 4.642 90.00 90.00 90.00
Space group P4/mmm (No. 123)
Symmetry-distinct sites (fractional):
V 0.000 0.000 0.000
As 0.500 0.500 0.000
Os 0.500 0.500 0.500
Br 0.000 0.500 0.500

Calculated values
- M_tot: 0.3 μB per cell
- DFT total energy: -4.48 eV/atom
- Energy relative to the lowest polymorph listed for this composition: 0.00 eV/f.u.


# 8
Computed, not measured: a geometry-optimized VAs2OsBr structure at the PBE level of DFT.

Lattice parameters (Å, degrees): 4.775 4.775 4.825 90.00 90.00 90.00
Space group P4/mmm (No. 123)
Symmetry-distinct sites (fractional):
V 0.000 0.000 0.000
As 0.000 0.500 0.000
Os 0.500 0.500 0.500
Br 0.000 0.000 0.500

Calculated values
- M_tot: 4.0 μB per cell
- DFT total energy: -5.03 eV/atom
- Energy relative to the lowest polymorph listed for this composition: 1.72 eV/f.u.


# 9
Computed, not measured: a geometry-optimized VAsOsBr2 structure at the PBE level of DFT.

Lattice parameters (Å, degrees): 4.773 4.773 5.108 90.00 90.00 90.00
Space group P4/mmm (No. 123)
Symmetry-distinct sites (fractional):
V 0.000 0.000 0.000
As 0.000 0.000 0.500
Os 0.500 0.500 0.500
Br 0.000 0.500 0.000

Calculated values
- M_tot: 3.7 μB per cell
- DFT total energy: -4.43 eV/atom
- Energy relative to the lowest polymorph listed for this composition: 0.25 eV/f.u.


# 10
Computed, not measured: a geometry-optimized VAs2OsBr structure at the PBE level of DFT.

Lattice parameters (Å, degrees): 4.697 4.697 5.479 90.00 90.00 90.00
Space group P4/mmm (No. 123)
Symmetry-distinct sites (fractional):
V 0.000 0.000 0.000
As 0.000 0.500 0.500
Os 0.500 0.500 0.500
Br 0.500 0.500 0.000

Calculated values
- M_tot: 3.5 μB per cell
- DFT total energy: -5.38 eV/atom
- Energy relative to the lowest polymorph listed for this composition: 0.00 eV/f.u.


# 11
Computed, not measured: a geometry-optimized AsOsWBr2 structure at the PBE level of DFT.

Lattice parameters (Å, degrees): 5.173 5.173 4.682 90.00 90.00 90.00
Space group P4/mmm (No. 123)
Symmetry-distinct sites (fractional):
As 0.000 0.000 0.000
Os 0.000 0.000 0.500
W 0.500 0.500 0.000
Br 0.000 0.500 0.500

Calculated values
- M_tot: 4.5 μB per cell
- DFT total energy: -4.80 eV/atom
- Energy relative to the lowest polymorph listed for this composition: 0.00 eV/f.u.


# 12
Computed, not measured: a geometry-optimized AsOsWBr2 structure at the PBE level of DFT.

Lattice parameters (Å, degrees): 5.027 5.027 4.984 90.00 90.00 90.00
Space group P4/mmm (No. 123)
Symmetry-distinct sites (fractional):
As 0.000 0.000 0.000
Os 0.500 0.500 0.000
W 0.000 0.000 0.500
Br 0.000 0.500 0.500

Calculated values
- M_tot: 3.4 μB per cell
- DFT total energy: -4.75 eV/atom
- Energy relative to the lowest polymorph listed for this composition: 0.22 eV/f.u.


# 13
Computed, not measured: a geometry-optimized YAsOsBr2 structure at the PBE level of DFT.

Lattice parameters (Å, degrees): 5.362 5.362 5.843 90.00 90.00 90.00
Space group P4/mmm (No. 123)
Symmetry-distinct sites (fractional):
Y 0.000 0.000 0.000
As 0.000 0.000 0.500
Os 0.500 0.500 0.500
Br 0.000 0.500 0.000

Calculated values
- M_tot: 4.1 μB per cell
- DFT total energy: -4.42 eV/atom
- Energy relative to the lowest polymorph listed for this composition: 2.54 eV/f.u.


# 14
Computed, not measured: a geometry-optimized YAsOsBr2 structure at the PBE level of DFT.

Lattice parameters (Å, degrees): 5.111 5.111 4.773 90.00 90.00 90.00
Space group P4/mmm (No. 123)
Symmetry-distinct sites (fractional):
Y 0.000 0.000 0.000
As 0.500 0.500 0.000
Os 0.500 0.500 0.500
Br 0.000 0.500 0.500

Calculated values
- M_tot: 0.0 μB per cell
- DFT total energy: -4.93 eV/atom
- Energy relative to the lowest polymorph listed for this composition: 0.00 eV/f.u.


# 15
Computed, not measured: a geometry-optimized YAs2OsBr structure at the PBE level of DFT.

Lattice parameters (Å, degrees): 5.502 5.502 5.275 90.00 90.00 90.00
Space group P4/mmm (No. 123)
Symmetry-distinct sites (fractional):
Y 0.000 0.000 0.000
As 0.000 0.500 0.000
Os 0.500 0.500 0.500
Br 0.000 0.000 0.500

Calculated values
- M_tot: 3.2 μB per cell
- DFT total energy: -4.53 eV/atom
- Energy relative to the lowest polymorph listed for this composition: 5.28 eV/f.u.


# 16
Computed, not measured: a geometry-optimized YAs2OsBr structure at the PBE level of DFT.

Lattice parameters (Å, degrees): 4.787 4.787 5.212 90.00 90.00 90.00
Space group P4/mmm (No. 123)
Symmetry-distinct sites (fractional):
Y 0.000 0.000 0.000
As 0.000 0.500 0.500
Os 0.500 0.500 0.500
Br 0.500 0.500 0.000

Calculated values
- M_tot: 0.0 μB per cell
- DFT total energy: -5.59 eV/atom
- Energy relative to the lowest polymorph listed for this composition: 0.00 eV/f.u.


# 17
Computed, not measured: a geometry-optimized ZnAs2OsBr structure at the PBE level of DFT.

Lattice parameters (Å, degrees): 4.728 4.728 5.536 90.00 90.00 90.00
Space group P4/mmm (No. 123)
Symmetry-distinct sites (fractional):
Zn 0.000 0.000 0.000
As 0.000 0.500 0.500
Os 0.500 0.500 0.500
Br 0.500 0.500 0.000

Calculated values
- M_tot: 0.0 μB per cell
- DFT total energy: -4.13 eV/atom
- Energy relative to the lowest polymorph listed for this composition: 0.00 eV/f.u.


# 18
Computed, not measured: a geometry-optimized Zn2AsOsBr structure at the PBE level of DFT.

Lattice parameters (Å, degrees): 5.052 5.052 4.661 90.00 90.00 90.00
Space group P4/mmm (No. 123)
Symmetry-distinct sites (fractional):
Zn 0.000 0.500 0.000
As 0.000 0.000 0.500
Os 0.500 0.500 0.000
Br 0.500 0.500 0.500

Calculated values
- M_tot: 1.8 μB per cell
- DFT total energy: -3.02 eV/atom


# 19
Computed, not measured: a geometry-optimized ZnAs2OsBr structure at the PBE level of DFT.

Lattice parameters (Å, degrees): 4.653 4.653 4.921 90.00 90.00 90.00
Space group P4/mmm (No. 123)
Symmetry-distinct sites (fractional):
Zn 0.000 0.000 0.000
As 0.000 0.500 0.000
Os 0.500 0.500 0.500
Br 0.000 0.000 0.500

Calculated values
- M_tot: 0.0 μB per cell
- DFT total energy: -3.16 eV/atom
- Energy relative to the lowest polymorph listed for this composition: 4.85 eV/f.u.


# 20
Computed, not measured: a geometry-optimized ZrAsOsBr2 structure at the PBE level of DFT.

Lattice parameters (Å, degrees): 5.161 5.161 4.690 90.00 90.00 90.00
Space group P4/mmm (No. 123)
Symmetry-distinct sites (fractional):
Zr 0.000 0.000 0.000
As 0.500 0.500 0.500
Os 0.500 0.500 0.000
Br 0.000 0.500 0.500

Calculated values
- M_tot: 0.0 μB per cell
- DFT total energy: -4.43 eV/atom
- Energy relative to the lowest polymorph listed for this composition: 1.76 eV/f.u.


# 21
Computed, not measured: a geometry-optimized ZrAsOsBr2 structure at the PBE level of DFT.

Lattice parameters (Å, degrees): 5.189 5.189 5.428 90.00 90.00 90.00
Space group P4/mmm (No. 123)
Symmetry-distinct sites (fractional):
Zr 0.000 0.000 0.000
As 0.000 0.000 0.500
Os 0.500 0.500 0.500
Br 0.000 0.500 0.000

Calculated values
- M_tot: 4.1 μB per cell
- DFT total energy: -4.64 eV/atom
- Energy relative to the lowest polymorph listed for this composition: 0.74 eV/f.u.


# 22
Computed, not measured: a geometry-optimized ZrAsOsBr2 structure at the PBE level of DFT.

Lattice parameters (Å, degrees): 5.130 5.130 4.702 90.00 90.00 90.00
Space group P4/mmm (No. 123)
Symmetry-distinct sites (fractional):
Zr 0.000 0.000 0.000
As 0.500 0.500 0.000
Os 0.500 0.500 0.500
Br 0.000 0.500 0.500

Calculated values
- M_tot: 2.2 μB per cell
- DFT total energy: -4.78 eV/atom
- Energy relative to the lowest polymorph listed for this composition: 0.00 eV/f.u.


# 23
Computed, not measured: a geometry-optimized As2PBr structure at the PBE level of DFT.

Lattice parameters (Å, degrees): 6.763 6.763 6.763 90.00 90.00 90.00
Space group Fm-3m (No. 225)
Symmetry-distinct sites (fractional):
As 0.250 0.250 0.250
P 0.000 0.000 0.000
Br 0.000 0.000 0.500

Calculated values
- M_tot: 0.0 μB per cell
- DFT total energy: -3.44 eV/atom
- Energy relative to the lowest polymorph listed for this composition: 2.46 eV/f.u.


# 24
Computed, not measured: a geometry-optimized AsPBr structure at the PBE level of DFT.

Lattice parameters (Å, degrees): 3.471 3.471 12.811 90.00 90.00 90.00
Space group I4mm (No. 107)
Symmetry-distinct sites (fractional):
As 0.000 0.000 0.000
P 0.000 0.000 0.440
Br 0.000 0.000 0.265

Calculated values
- M_tot: 0.0 μB per cell
- DFT total energy: -3.78 eV/atom
- Energy relative to the lowest polymorph listed for this composition: 0.21 eV/f.u.


# 25
Computed, not measured: a geometry-optimized As2PBr structure at the PBE level of DFT.

Lattice parameters (Å, degrees): 7.842 3.651 7.116 90.00 114.96 90.00
Space group C2/m (No. 12)
Symmetry-distinct sites (fractional):
As 0.243 0.000 0.341
P 0.000 0.000 0.500
Br 0.000 0.500 0.000

Calculated values
- M_tot: 0.0 μB per cell
- DFT total energy: -3.89 eV/atom
- Energy relative to the lowest polymorph listed for this composition: 0.65 eV/f.u.


# 26
Computed, not measured: a geometry-optimized As2PBr structure at the PBE level of DFT.

Lattice parameters (Å, degrees): 3.984 4.589 5.378 90.00 111.63 90.00
Space group P2/m (No. 10)
Symmetry-distinct sites (fractional):
As 0.169 0.000 0.340
P 0.500 0.500 0.500
Br 0.500 0.500 0.000

Calculated values
- M_tot: 0.0 μB per cell
- DFT total energy: -3.90 eV/atom
- Energy relative to the lowest polymorph listed for this composition: 0.59 eV/f.u.


# 27
Computed, not measured: a geometry-optimized As2PBr structure at the PBE level of DFT.

Lattice parameters (Å, degrees): 4.800 4.800 6.751 90.00 90.00 90.00
Space group I-4m2 (No. 119)
Symmetry-distinct sites (fractional):
As 0.000 0.000 0.000
As 0.000 0.500 0.250
P 0.000 0.500 0.750
Br 0.000 0.000 0.500

Calculated values
- M_tot: 0.0 μB per cell
- DFT total energy: -3.40 eV/atom
- Energy relative to the lowest polymorph listed for this composition: 2.61 eV/f.u.


# 28
Computed, not measured: a geometry-optimized As2PBr structure at the PBE level of DFT.

Lattice parameters (Å, degrees): 3.616 3.789 14.181 90.00 90.00 90.00
Space group Imm2 (No. 44)
Symmetry-distinct sites (fractional):
As 0.000 0.000 0.000
As 0.000 0.500 0.142
P 0.000 0.000 0.514
Br 0.000 0.500 0.754

Calculated values
- M_tot: 0.0 μB per cell
- DFT total energy: -3.93 eV/atom
- Energy relative to the lowest polymorph listed for this composition: 0.49 eV/f.u.


# 29
Computed, not measured: a geometry-optimized As2PBr structure at the PBE level of DFT.

Lattice parameters (Å, degrees): 3.518 7.485 9.320 90.00 90.00 90.00
Space group Cmm2 (No. 35)
Symmetry-distinct sites (fractional):
As 0.000 0.000 0.000
As 0.000 0.500 0.221
P 0.000 0.000 0.377
Br 0.000 0.500 0.800

Calculated values
- M_tot: 0.0 μB per cell
- DFT total energy: -3.67 eV/atom
- Energy relative to the lowest polymorph listed for this composition: 1.54 eV/f.u.